12
Lattice="-0.837 3.144 0.074 -6.536 -1.757 0.698 2.665 0.547 6.933" Properties=species:S:1:pos:R:3 comment="PBE CeMnMoC3, relaxed" e_tot_ev_per_atom=-8.9195 crystal_system=monoclinic magmom_total_mub_per_cell=0.00 pbc="T T T"
Ce -3.789 1.374 6.132
Mn 0.722 0.934 4.304
Ce -0.919 0.561 1.573
C -0.389 2.333 3.837
Mo -4.133 -0.291 1.390
C -4.319 -0.398 3.868
Mo -0.575 2.226 6.315
C -5.998 0.892 1.629
C -3.104 1.666 1.453
C 1.290 1.044 6.076
C -1.604 0.269 6.251
Mn -5.430 1.001 3.401

---

5
Lattice="4.657 0.000 0.000 0.000 4.667 0.000 0.000 0.000 4.657" Properties=species:S:1:pos:R:3 comment="PBE CdCuRu2Rh, relaxed" de_polymorph_mev_per_atom=0.0 crystal_system=tetragonal magmom_total_mub_per_cell=0.01 pbc="T T T"
Cu 0.000 2.333 0.000
Ru 2.328 0.000 0.000
Ru 0.000 0.000 2.328
Rh 0.000 0.000 0.000
Cd 2.328 2.333 2.328

---

8
Lattice="4.133 0.000 0.000 0.000 7.365 0.099 0.000 -2.601 6.919" Properties=species:S:1:pos:R:3 comment="PBE Li2UCuTe4, relaxed" crystal_system=monoclinic magmom_total_mub_per_cell=1.66 e_form_raw_mev_per_atom=-552 pbc="T T T"
Li 2.067 -1.300 3.460
Cu 0.000 0.000 0.000
Te 0.000 4.766 1.967
Te 2.067 3.743 5.520
Li 0.000 2.382 3.509
Te 2.067 1.022 1.498
U 2.067 3.683 0.049
Te 0.000 -0.001 5.052